(one)
DFT (PBE-GGA) results for crystalline Er2ThN at its relaxed geometry.

The value obtained for the total magnetization is 0.00 μB/cell. The value obtained for the density is 11.2 g cm⁻³. Its space group is P4/mmm, No. 123.

Cell: 3.192 3.192 8.410 Å, 90.00 90.00 90.00°
Element x y z (fractional)
Er 0.000 0.000 0.167
Er 0.000 0.000 0.833
Th 0.500 0.500 0.500
N 0.500 0.500 0.000

(two)
DFT (PBE-GGA) results for crystalline Er2ThN at its relaxed geometry.

The value obtained for the total magnetization is 0.00 μB/cell. The value obtained for the density is 10.1 g cm⁻³. Its space group is R-3m, No. 166.

Cell: 9.742 9.742 9.742 Å, 20.10 20.10 20.10°
Element x y z (fractional)
Er 0.120 0.120 0.120
Er 0.880 0.880 0.880
Th 0.000 0.000 0.000
N 0.500 0.500 0.500

What are the relative energies? In kJ/mol of atoms: (one) 49.5; (two) 0.0.